BiPd2Rh2 PBE optimized geometry; symmetry = P4/mbm, No. 127; density = 11724 kg/m³; E above lowest polymorph = 0 meV/atom; E_form = 148.4 meV per atom; energy = -56.46 eV per cell; total magnetic moment = 1.0 Bohr magnetons per cell; V = 17.78 Å³/atom
1.0
-5.0527 0.4145 4.6590
3.9810 -3.2195 4.6038
1.3375 3.3073 1.1563
Rh Bi Pd
4 2 4
Direct
0.3676 0.8676 0.0000
0.8676 0.6324 0.0000
0.6324 0.1325 0.0000
0.1325 0.3676 0.0000
0.0000 0.0000 0.0000
0.5000 0.5000 0.0000
0.1602 0.6602 0.5000
0.6602 0.8398 0.5000
0.8398 0.3398 0.5000
0.3398 0.1602 0.5000